The following is a PBE calculation of crystalline BePtC3 at its relaxed geometry, from Alexandria.

```
BePtC3
1.0
3.612 0.000 0.000
0.000 3.612 0.000
0.000 0.000 3.612
Be C Pt
1 3 1
Direct
0.000 0.000 0.000
0.000 0.500 0.000
0.000 0.000 0.500
0.500 0.000 0.000
0.500 0.500 0.500
```

Total energy, eV per atom: -5.13
Polymorph energy (0 for the lowest one), eV/f.u.: 0.00
Density, g/cm³: 8.463



The following is a PBE calculation of crystalline BePtC3 at its relaxed geometry, from Alexandria.

```
BePtC3
1.0
4.004 0.000 0.000
0.000 4.004 0.000
0.000 0.000 4.004
Be C Pt
1 3 1
Direct
0.500 0.500 0.500
0.000 0.500 0.000
0.000 0.000 0.500
0.500 0.000 0.000
0.000 0.000 0.000
```

Total energy, eV per atom: -4.72
Polymorph energy (0 for the lowest one), eV/f.u.: 2.04
Density, g/cm³: 6.210



The following is a PBE calculation of crystalline BeRePt2C at its relaxed geometry, from Alexandria.

```
BeRePt2C
1.0
4.776 0.000 0.000
0.000 4.313 0.000
0.000 0.000 4.776
Re C Pt Be
1 1 2 1
Direct
0.000 0.000 0.000
0.500 0.500 0.500
0.000 0.000 0.500
0.500 0.000 0.000
0.000 0.500 0.000
```

Total energy, eV per atom: -5.05
Density, g/cm³: 10.080



The following is a PBE calculation of crystalline BeSbPt2C at its relaxed geometry, from Alexandria.

```
BeSbPt2C
1.0
-1.212 -0.767 3.895
3.023 -3.801 0.193
3.015 2.470 1.425
Sb C Pt Be
1 1 2 1
Direct
0.000 0.500 0.000
0.500 0.500 0.500
0.000 0.000 0.500
0.500 0.000 0.000
0.000 0.000 0.000
```

Total energy, eV per atom: -4.49
Density, g/cm³: 10.570
Energy relative to the elements, uncorrected, eV per atom: 1.34



The following is a PBE calculation of crystalline Sc2BePtC at its relaxed geometry, from Alexandria.

```
Sc2BePtC
1.0
-1.039 0.265 4.458
3.282 -3.058 0.947
2.278 2.563 0.379
Sc Be C Pt
2 1 1 1
Direct
0.000 0.500 0.000
0.500 0.000 0.000
0.000 0.000 0.500
0.000 0.000 0.000
0.500 0.500 0.500
```

Total energy, eV per atom: -7.03
Density, g/cm³: 7.007



The following is a PBE calculation of crystalline BePtC2Se at its relaxed geometry, from Alexandria.

```
BePtC2Se
1.0
3.626 0.000 0.000
0.000 4.901 0.000
0.000 0.000 3.626
Be C Se Pt
1 2 1 1
Direct
0.000 0.000 0.000
0.000 0.000 0.500
0.500 0.000 0.000
0.500 0.500 0.500
0.000 0.500 0.000
```

Total energy, eV per atom: -4.59
Density, g/cm³: 7.913
Energy relative to the elements, uncorrected, eV per atom: 1.75



The following is a PBE calculation of crystalline Ta2BePtC at its relaxed geometry, from Alexandria.

```
Ta2BePtC
1.0
4.389 0.000 0.000
0.000 4.389 0.000
0.000 0.000 3.489
Be C Pt Ta
1 1 1 2
Direct
0.000 0.000 0.500
0.000 0.000 0.000
0.500 0.500 0.500
0.000 0.500 0.000
0.500 0.000 0.000
```

Total energy, eV per atom: -8.86
Density, g/cm³: 14.278



The following is a PBE calculation of crystalline ThBePtC at its relaxed geometry, from Alexandria.

```
ThBePtC
1.0
3.888 0.000 0.000
0.000 3.888 0.000
0.000 0.000 8.232
Th Be Pt C
2 2 2 2
Direct
0.000 0.500 0.838
0.500 0.000 0.162
0.000 0.500 0.345
0.500 0.000 0.655
0.000 0.000 0.500
0.500 0.500 0.500
0.500 0.000 0.866
0.000 0.500 0.134
```

Total energy, eV per atom: -7.26
Density, g/cm³: 11.961



The following is a PBE calculation of crystalline Y2BePtC at its relaxed geometry, from Alexandria.

```
Y2BePtC
1.0
-3.194 3.756 0.790
-1.173 -1.934 4.451
2.542 1.851 1.474
Y Be C Pt
2 1 1 1
Direct
0.000 0.500 0.000
0.500 0.000 0.000
0.000 0.000 0.500
0.000 0.000 0.000
0.500 0.500 0.500
```

Total energy, eV per atom: -6.99
Density, g/cm³: 7.555



The following is a PBE calculation of crystalline Zr2BePtC at its relaxed geometry, from Alexandria.

```
Zr2BePtC
1.0
4.641 0.000 0.000
0.000 4.641 0.000
0.000 0.000 3.481
Be C Zr Pt
1 1 2 1
Direct
0.000 0.000 0.500
0.000 0.000 0.000
0.000 0.500 0.000
0.500 0.000 0.000
0.500 0.500 0.500
```

Total energy, eV per atom: -7.86
Density, g/cm³: 8.825



The following is a PBE calculation of crystalline RbBeC2 at its relaxed geometry, from Alexandria.

```
RbBeC2
1.0
-1.534 -2.951 3.011
4.170 -0.588 1.548
0.513 2.529 6.083
Be C Rb
2 4 2
Direct
0.500 0.500 0.000
0.250 0.750 0.500
0.375 0.125 0.250
0.375 0.625 0.250
0.375 0.625 0.750
0.875 0.625 0.750
0.000 0.000 0.000
0.750 0.250 0.500
```

Total energy, eV per atom: -4.22
Density, g/cm³: 3.373



The following is a PBE calculation of crystalline RbBe3C at its relaxed geometry, from Alexandria.

```
RbBe3C
1.0
-5.364 3.965 -0.526
-3.801 -5.327 -1.394
-1.245 -0.819 6.523
Be C Rb
3 1 1
Direct
0.000 0.500 0.000
0.000 0.000 0.500
0.500 0.000 0.000
0.500 0.500 0.500
0.000 0.000 0.000
```

Total energy, eV per atom: -0.81
Polymorph energy (0 for the lowest one), eV/f.u.: 10.15
Density, g/cm³: 0.690



The following is a PBE calculation of crystalline RbBe3C at its relaxed geometry, from Alexandria.

```
RbBe3C
1.0
3.997 0.000 0.000
0.000 3.997 0.000
0.000 0.000 3.997
Be C Rb
3 1 1
Direct
0.000 0.500 0.000
0.000 0.000 0.500
0.500 0.000 0.000
0.000 0.000 0.000
0.500 0.500 0.500
```

Total energy, eV per atom: -2.84
Polymorph energy (0 for the lowest one), eV/f.u.: 0.00
Density, g/cm³: 3.238



The following is a PBE calculation of crystalline Rb4BeC2 at its relaxed geometry, from Alexandria.

```
Rb4BeC2
1.0
-0.704 5.643 -2.506
-6.128 -0.948 -0.413
-4.438 5.620 6.194
Be C Rb
1 2 4
Direct
0.000 0.000 0.000
0.619 0.619 0.762
0.381 0.381 0.238
0.794 0.794 0.412
0.206 0.206 0.588
0.000 0.500 0.000
0.500 0.000 0.000
```

Total energy, eV per atom: -1.89
Density, g/cm³: 1.922



The following is a PBE calculation of crystalline Rb2BeC2 at its relaxed geometry, from Alexandria.

```
Rb2BeC2
1.0
-6.098 6.724 -1.493
-4.552 -2.438 7.613
2.447 2.740 2.341
Be C Rb
2 4 4
Direct
0.000 0.000 0.000
0.500 0.500 0.000
0.049 0.549 0.500
0.549 0.951 0.500
0.951 0.451 0.500
0.451 0.049 0.500
0.340 0.840 0.000
0.840 0.660 0.000
0.660 0.160 0.000
0.160 0.340 0.000
```

Total energy, eV per atom: -3.70
Polymorph energy (0 for the lowest one), eV/f.u.: 0.00
Density, g/cm³: 1.838



The following is a PBE calculation of crystalline Rb3BeC at its relaxed geometry, from Alexandria.

```
Rb3BeC
1.0
6.014 0.000 0.000
0.000 6.014 0.000
0.000 0.000 6.014
Be C Rb
1 1 3
Direct
0.500 0.500 0.500
0.000 0.000 0.000
0.000 0.500 0.000
0.000 0.000 0.500
0.500 0.000 0.000
```

Total energy, eV per atom: -1.68
Polymorph energy (0 for the lowest one), eV/f.u.: 0.00
Density, g/cm³: 2.117



The following is a PBE calculation of crystalline RbBe2C at its relaxed geometry, from Alexandria.

```
RbBe2C
1.0
5.524 0.000 0.000
0.000 5.524 0.000
2.762 2.762 4.155
Be C Rb
4 2 2
Direct
0.375 0.125 0.250
0.375 0.625 0.250
0.375 0.625 0.750
0.875 0.625 0.750
0.500 0.500 0.000
0.250 0.750 0.500
0.000 0.000 0.000
0.750 0.250 0.500
```

Total energy, eV per atom: -3.92
Density, g/cm³: 3.026



The following is a PBE calculation of crystalline Rb2BeC2 at its relaxed geometry, from Alexandria.

```
Rb2BeC2
1.0
-1.401 1.969 -1.550
-2.061 0.105 1.996
3.831 9.176 5.536
Be C Rb
1 2 2
Direct
0.000 0.000 0.000
0.750 0.250 0.500
0.250 0.750 0.500
0.367 0.367 0.266
0.633 0.633 0.734
```

Total energy, eV per atom: -2.60
Polymorph energy (0 for the lowest one), eV/f.u.: 5.52
Density, g/cm³: 3.669



The following is a PBE calculation of crystalline BeRe2C at its relaxed geometry, from Alexandria.

```
BeRe2C
1.0
-3.397 -0.649 -2.920
2.646 -2.712 -2.476
-2.045 -5.945 0.191
Re C Be
4 2 2
Direct
0.675 0.125 0.250
0.075 0.625 0.250
0.375 0.325 0.750
0.875 0.925 0.750
0.000 0.000 0.000
0.750 0.250 0.500
0.500 0.500 0.000
0.250 0.750 0.500
```

Total energy, eV per atom: -8.23
Polymorph energy (0 for the lowest one), eV/f.u.: 1.50
Density, g/cm³: 11.778



The following is a PBE calculation of crystalline BeRe2C at its relaxed geometry, from Alexandria.

```
BeRe2C
1.0
0.000 2.773 2.773
2.773 0.000 2.773
2.773 2.773 0.000
Re C Be
2 1 1
Direct
0.250 0.250 0.250
0.750 0.750 0.750
0.500 0.500 0.500
0.000 0.000 0.000
```

Total energy, eV per atom: -8.60
Polymorph energy (0 for the lowest one), eV/f.u.: 0.00
Density, g/cm³: 15.326